A plane-wave DFT calculation with GGA-PBE was carried out for crystalline HoSI at its relaxed geometry.

energy relative to the lowest polymorph listed for this composition	35.7	meV per atom
symmetry	No. 166
E	-5.19	eV per atom
crystal system	trigonal

POSCAR file:
```
HoSI
1.0
2.231 1.288 11.150
-2.231 1.288 11.150
0.000 -2.576 11.150
Ho I S
2 2 2
Direct
0.386 0.386 0.386
0.614 0.614 0.614
0.113 0.113 0.113
0.887 0.887 0.887
0.303 0.303 0.303
0.697 0.697 0.697
```